Sr2ScSe: relaxed, PBE.

Output
Its symmetry is P4/mmm. The formation energy from raw total energies is -0.64 eV/atom.

a b c (Å): 3.7731 3.7731 9.4018
angles (deg): 90.00 90.00 90.00
Positions (direct):
Sr: 0.0000 0.0000 0.1970
Sr: 0.0000 0.0000 0.8030
Sc: 0.5000 0.5000 0.5000
Se: 0.5000 0.5000 0.0000